[1]
## SrMg2As (PBE-GGA)

Data for a geometry-optimized SrMg2As structure.

The value obtained for the total magnetization is 0.0 μB/cell. The value obtained for the formation energy is -0.273 eV/atom. Its space group is I4/mmm, No. 139.

```
SrMg2As
1.0
-1.1918 5.6632 -2.3054
-3.6148 0.5313 -5.0456
-0.1414 -2.8814 5.5213
Mg Sr As
2 1 1
Direct
0.5000 0.5000 0.0000
0.0000 0.0000 0.0000
0.2500 0.7500 0.5000
0.7500 0.2500 0.5000
```

=====

[2]
## Mn8GeC2 (PBE-GGA)

Data for a geometry-optimized Mn8GeC2 structure.

The value obtained for the total magnetization is 1.3 μB/cell. The value obtained for the formation energy is 0.034 eV/atom. Its space group is C2/m, No. 12.

```
Mn8GeC2
1.0
-4.0346 -0.1689 -0.2885
0.9628 -5.3506 1.4170
0.3809 3.5211 4.3612
Mn C Ge
8 2 1
Direct
0.5000 0.7451 0.2549
0.0942 0.3354 0.0751
0.5000 0.2549 0.7451
0.9058 0.9249 0.6646
0.7037 0.4068 0.4068
0.0942 0.0751 0.3354
0.2963 0.5932 0.5932
0.9058 0.6646 0.9249
0.0000 0.3132 0.6868
0.0000 0.6868 0.3132
0.5000 0.0000 0.0000
```

=====

[3]
## CsLiCdF4 (PBE-GGA)

Data for a geometry-optimized CsLiCdF4 structure.

The value obtained for the total magnetization is 0.0 μB/cell. The formation energy from raw total energies is -1718 kJ/mol of formula units. Its space group is P2_1/m, No. 11.

```
CsLiCdF4
1.0
-1.9363 2.1416 -4.7945
-5.2727 0.7594 2.4686
3.6455 5.0448 6.2346
F Cs Cd Li
8 2 2 2
Direct
0.4926 0.7500 0.5609
0.3428 0.7500 0.1952
0.9341 0.5124 0.3194
0.9341 0.9876 0.3194
0.0659 0.4876 0.6806
0.0659 0.0124 0.6806
0.5074 0.2500 0.4391
0.6572 0.2500 0.8048
0.6429 0.7500 0.9153
0.3571 0.2500 0.0847
0.7788 0.7500 0.4612
0.2212 0.2500 0.5388
0.8209 0.2500 0.6661
0.1791 0.7500 0.3339
```

=====

Summary of DFT total energy in eV for the cell shown
-10.61, -96.05, -57.95
(order as listed above)